Below is a crystal of CuW2Cl relaxed with PBEsol, with properties calculated at the SCAN level.

```
CuW2Cl
1.0
2.644 -4.138 0.000
2.644 4.138 0.000
0.000 0.000 2.700
Cu W Cl
1 2 1
Direct
0.000 0.000 0.000
0.000 0.500 0.500
0.500 0.000 0.500
0.500 0.500 0.000
```

Properties
N(E_F) = 3.3 states/eV/f.u.
ΔE_f (raw) = 483 kJ/mol of formula units
E above lowest polymorph = 4 meV/atom
Space-group type = Cmmm